Record 1
This record from Alexandria describes a relaxed structure of LiSm2Zn3Cu12. The functional is PBE-GGA.

It has space group R-3m (No. 166, hexagonal axes), with a = 6.2631 Å, b = 6.2631 Å, c = 26.1032 Å, α = 90.00°, β = 90.00° and γ = 120.00°. The distinct sites, in fractional coordinates, are Li at (0.0000, 0.0000, 0.0000), Sm at (0.0000, 0.0000, 0.3483), Zn at (0.0000, 0.5000, 0.5000), Cu at (0.0518, 0.5259, 0.5966) and Cu at (0.0757, 0.5378, 0.1168).

***

Record 2
This record from Alexandria describes a relaxed structure of LaAl2Co2. The functional is PBE-GGA.

It has space group P4/mbm (No. 127), with a = 7.452 Å, b = 7.452 Å, c = 2.855 Å, α = 90.00°, β = 90.00° and γ = 90.00°. The distinct sites, in fractional coordinates, are La at (0.000, 0.000, 0.000), Al at (0.126, 0.374, 0.500) and Co at (0.166, 0.666, 0.000).

***

Record 3
This record from Alexandria describes a relaxed structure of BaLiHg2. The functional is PBE-GGA.

It has space group F-43m (No. 216), with a = 7.710 Å, b = 7.710 Å, c = 7.710 Å, α = 90.00°, β = 90.00° and γ = 90.00°. The distinct sites, in fractional coordinates, are Ba at (0.000, 0.000, 0.000), Li at (0.250, 0.250, 0.250), Hg at (0.000, 0.000, 0.500) and Hg at (0.250, 0.250, 0.750).

***

Record 4
This record from Alexandria describes a relaxed structure of Tm5Co4Ag. The functional is PBE-GGA.

It has space group P4/mmm (No. 123), with a = 3.296 Å, b = 3.296 Å, c = 17.335 Å, α = 90.00°, β = 90.00° and γ = 90.00°. The distinct sites, in fractional coordinates, are Tm at (0.000, 0.000, 0.000), Tm at (0.000, 0.000, 0.188), Tm at (0.000, 0.000, 0.377), Co at (0.500, 0.500, 0.095), Co at (0.500, 0.500, 0.287) and Ag at (0.500, 0.500, 0.500).

***

Record 5
This record from Alexandria describes a relaxed structure of ThZnRhAu. The functional is PBE-GGA.

It has space group F-43m (No. 216), with a = 6.883 Å, b = 6.883 Å, c = 6.883 Å, α = 90.00°, β = 90.00° and γ = 90.00°. The distinct sites, in fractional coordinates, are Th at (0.000, 0.000, 0.000), Zn at (0.000, 0.000, 0.500), Rh at (0.250, 0.250, 0.750) and Au at (0.250, 0.250, 0.250).

***

Record 6
This record from Alexandria describes a relaxed structure of Li2Ag3Pd3. The functional is PBE-GGA.

It has space group Pmmm (No. 47), with a = 4.009 Å, b = 4.014 Å, c = 7.871 Å, α = 90.00°, β = 90.00° and γ = 90.00°. The distinct sites, in fractional coordinates, are Li at (0.000, 0.000, 0.238), Ag at (0.000, 0.500, 0.000), Ag at (0.000, 0.500, 0.500), Ag at (0.500, 0.000, 0.500), Pd at (0.500, 0.000, 0.000) and Pd at (0.500, 0.500, 0.249).

***

no.,formation energy (kcal/mol of atoms)
1,3.25
2,-5.52
3,-6.12
4,-5.90
5,-11.56
6,-5.35